P:
LuPaTc after structural relaxation, computed with PBE-GGA.

a = 3.4343 Å, b = 3.4343 Å, c = 6.1321 Å
α = 106.26°, β = 106.26°, γ = 90.00°
Last column: nearest neighbours and their distance in Å.
Element x y z (fractional)
1 Tc 0.6842 0.6842 0.3683  4 Pa 2.79, 4 Lu 3.12
2 Lu 0.0097 0.0097 0.0193  4 Tc 3.12, 5 Pa 3.34, 4 Lu 3.43
3 Pa 0.3062 0.3062 0.6123  4 Tc 2.79

***

Q:
LuPaTc after structural relaxation, computed with PBE-GGA.

a = 3.2565 Å, b = 4.7543 Å, c = 4.7543 Å
α = 120.00°, β = 90.00°, γ = 90.00°
Last column: nearest neighbours and their distance in Å.
Element x y z (fractional)
1 Pa 0.2735 0.6667 0.3333  3 Tc 2.85, 3 Lu 3.06
2 Lu 0.6876 0.3333 0.6667  3 Tc 2.97, 3 Pa 3.06, 2 Lu 3.26
3 Tc 0.0389 0.0000 0.0000  3 Pa 2.85, 3 Lu 2.97

***

The winner here is P, beating the second structure by 19.5 kJ/mol of atoms.

***

P:
Lu2PaTe after structural relaxation, computed with PBE-GGA.

a = 3.6913 Å, b = 3.6913 Å, c = 7.9221 Å
α = 90.00°, β = 90.00°, γ = 90.00°
Last column: nearest neighbours and their distance in Å.
Element x y z (fractional)
1 Lu 0.0000 0.0000 0.7685  4 Te 3.19, 4 Pa 3.37
2 Lu 0.0000 0.0000 0.2315  4 Te 3.19, 4 Pa 3.37
3 Pa 0.5000 0.5000 0.5000  8 Lu 3.37, 4 Pa 3.69
4 Te 0.5000 0.5000 0.0000  8 Lu 3.19

***

Q:
Lu2PaTe after structural relaxation, computed with PBE-GGA.

a = 3.3682 Å, b = 3.3682 Å, c = 11.4758 Å
α = 81.56°, β = 81.56°, γ = 60.00°
Last column: nearest neighbours and their distance in Å.
Element x y z (fractional)
1 Te 0.5000 0.5000 0.5000  6 Lu 3.11, 6 Te 3.37
2 Pa 0.0000 0.0000 0.0000  2 Lu 3.23, 6 Pa 3.37
3 Lu 0.0951 0.0951 0.7147  3 Te 3.11, 1 Pa 3.23, 6 Lu 3.37
4 Lu 0.9049 0.9049 0.2853  3 Te 3.11, 1 Pa 3.23, 6 Lu 3.37

***

The winner here is P, beating the second structure by 44.3 kJ/mol of atoms.

***

P:
LuTh2Pa after structural relaxation, computed with PBE-GGA.

a = 3.3641 Å, b = 3.3641 Å, c = 12.3271 Å
α = 82.16°, β = 82.16°, γ = 60.00°
Last column: nearest neighbours and their distance in Å.
Element x y z (fractional)
1 Lu 0.5000 0.5000 0.5000  6 Lu 3.36, 6 Th 3.53
2 Pa 0.0000 0.0000 0.0000  2 Th 3.14, 6 Pa 3.36
3 Th 0.9141 0.9141 0.2578  1 Pa 3.14, 6 Th 3.36
4 Th 0.0859 0.0859 0.7422  1 Pa 3.14, 6 Th 3.36

***

Q:
LuTh2Pa after structural relaxation, computed with PBE-GGA.

a = 4.7795 Å, b = 4.9646 Å, c = 4.9646 Å
α = 90.00°, β = 90.00°, γ = 90.00°
Last column: nearest neighbours and their distance in Å.
Element x y z (fractional)
1 Lu 0.5000 0.0000 0.0000  8 Th 3.45, 4 Pa 3.51
2 Th 0.0000 0.5000 0.0000  4 Pa 3.45, 4 Lu 3.45, 4 Th 3.51
3 Th 0.0000 0.0000 0.5000  4 Pa 3.45, 4 Lu 3.45, 4 Th 3.51
4 Pa 0.5000 0.5000 0.5000  8 Th 3.45, 4 Lu 3.51

***

The winner here is Q, beating the second structure by 13.9 kJ/mol of atoms.

***

P:
LuThPa2 after structural relaxation, computed with PBE-GGA.

a = 4.9669 Å, b = 4.6911 Å, c = 4.6911 Å
α = 90.00°, β = 90.00°, γ = 90.00°
Last column: nearest neighbours and their distance in Å.
Element x y z (fractional)
1 Pa 0.0000 0.0000 0.5000  4 Pa 3.32, 4 Th 3.42, 4 Lu 3.42
2 Th 0.5000 0.5000 0.5000  4 Lu 3.32, 8 Pa 3.42
3 Pa 0.0000 0.5000 0.0000  4 Pa 3.32, 4 Th 3.42, 4 Lu 3.42
4 Lu 0.5000 0.0000 0.0000  4 Th 3.32, 8 Pa 3.42

***

Q:
LuThPa2 after structural relaxation, computed with PBE-GGA.

a = 5.3971 Å, b = 5.3971 Å, c = 5.3964 Å
α = 60.00°, β = 60.00°, γ = 60.00°
Last column: nearest neighbours and their distance in Å.
Element x y z (fractional)
1 Th 0.0000 0.0000 0.0000  8 Pa 3.30-3.31
2 Lu 0.5000 0.5000 0.5000  8 Pa 3.30-3.31
3 Pa 0.7503 0.7503 0.7491  4 Th 3.30-3.31, 4 Lu 3.30-3.31
4 Pa 0.2497 0.2497 0.2509  4 Th 3.30-3.31, 4 Lu 3.30-3.31

***

The winner here is P, beating the second structure by 25.0 kJ/mol of atoms.

***

P:
LuPaTl after structural relaxation, computed with PBE-GGA.

a = 3.3082 Å, b = 5.3332 Å, c = 5.3332 Å
α = 120.00°, β = 90.00°, γ = 90.00°
Last column: nearest neighbours and their distance in Å.
Element x y z (fractional)
1 Lu 0.7726 0.6667 0.3333  3 Tl 3.12, 2 Lu 3.31, 3 Pa 3.45
2 Tl 0.9253 0.0000 0.0000  3 Lu 3.12, 2 Tl 3.31, 3 Pa 3.32
3 Pa 0.3020 0.3333 0.6667  2 Pa 3.31, 3 Tl 3.32, 6 Lu 3.45-3.54

***

Q:
LuPaTl after structural relaxation, computed with PBE-GGA.

a = 3.2568 Å, b = 3.2568 Å, c = 7.8058 Å
α = 102.04°, β = 102.04°, γ = 90.00°
Last column: nearest neighbours and their distance in Å.
Element x y z (fractional)
1 Pa 0.9995 0.9995 0.9991  4 Pa 3.26, 4 Lu 3.40, 4 Tl 3.42
2 Tl 0.6688 0.6688 0.3377  4 Tl 3.26, 4 Lu 3.35, 4 Pa 3.42
3 Lu 0.3316 0.3316 0.6632  4 Lu 3.26, 4 Tl 3.35, 4 Pa 3.40

***

The winner here is Q, beating the second structure by 17.6 kJ/mol of atoms.

***

P:
Lu2PaTl after structural relaxation, computed with PBE-GGA.

a = 3.2730 Å, b = 3.2730 Å, c = 11.9085 Å
α = 82.10°, β = 82.10°, γ = 60.00°
Last column: nearest neighbours and their distance in Å.
Element x y z (fractional)
1 Tl 0.5000 0.5000 0.5000  6 Tl 3.27, 6 Lu 3.27
2 Lu 0.0908 0.0908 0.7275  1 Pa 3.20, 6 Lu 3.27, 3 Tl 3.27
3 Pa 0.0000 0.0000 0.0000  2 Lu 3.20, 6 Pa 3.27
4 Lu 0.9092 0.9092 0.2725  1 Pa 3.20, 6 Lu 3.27, 3 Tl 3.27

***

Q:
Lu2PaTl after structural relaxation, computed with PBE-GGA.

a = 4.5105 Å, b = 4.8200 Å, c = 4.8200 Å
α = 90.00°, β = 90.00°, γ = 90.00°
Last column: nearest neighbours and their distance in Å.
Element x y z (fractional)
1 Tl 0.5000 0.0000 0.0000  8 Lu 3.30, 4 Pa 3.41
2 Pa 0.5000 0.5000 0.5000  8 Lu 3.30, 4 Tl 3.41
3 Lu 0.0000 0.0000 0.5000  4 Tl 3.30, 4 Pa 3.30, 4 Lu 3.41
4 Lu 0.0000 0.5000 0.0000  4 Tl 3.30, 4 Pa 3.30, 4 Lu 3.41

***

R:
Lu2PaTl after structural relaxation, computed with PBE-GGA.

a = 3.4192 Å, b = 3.4192 Å, c = 9.1083 Å
α = 90.00°, β = 90.00°, γ = 90.00°
Last column: nearest neighbours and their distance in Å.
Element x y z (fractional)
1 Pa 0.5000 0.5000 0.5000  8 Lu 3.36, 4 Pa 3.42
2 Tl 0.5000 0.5000 0.0000  8 Lu 3.28, 4 Tl 3.42
3 Lu 0.0000 0.0000 0.2434  4 Tl 3.28, 4 Pa 3.36, 4 Lu 3.42
4 Lu 0.0000 0.0000 0.7566  4 Tl 3.28, 4 Pa 3.36, 4 Lu 3.42

***

The winner here is R, beating the second structure by 13.6 kJ/mol of atoms.

***

P:
Y2LuPa after structural relaxation, computed with PBE-GGA.

a = 3.4059 Å, b = 3.4059 Å, c = 10.1891 Å
α = 90.00°, β = 90.00°, γ = 90.00°
Last column: nearest neighbours and their distance in Å.
Element x y z (fractional)
1 Pa 0.5000 0.5000 0.0000  4 Pa 3.41, 8 Y 3.41
2 Y 0.0000 0.0000 0.2372  4 Y 3.41, 4 Pa 3.41, 4 Lu 3.60
3 Lu 0.5000 0.5000 0.5000  4 Lu 3.41, 8 Y 3.60
4 Y 0.0000 0.0000 0.7628  4 Y 3.41, 4 Pa 3.41, 4 Lu 3.60

***

Q:
Y2LuPa after structural relaxation, computed with PBE-GGA.

a = 5.5471 Å, b = 5.5471 Å, c = 5.5481 Å
α = 60.01°, β = 60.01°, γ = 60.00°
Last column: nearest neighbours and their distance in Å.
Element x y z (fractional)
1 Y 0.2501 0.2501 0.2496  4 Lu 3.40, 4 Pa 3.40
2 Lu 0.5000 0.5000 0.5000  8 Y 3.40
3 Pa 0.0000 0.0000 0.0000  8 Y 3.40
4 Y 0.7499 0.7499 0.7504  4 Lu 3.40, 4 Pa 3.40

***

The winner here is P, beating the second structure by 19.7 kJ/mol of atoms.

***

P:
YLu2Pa after structural relaxation, computed with PBE-GGA.

a = 3.4053 Å, b = 3.4053 Å, c = 9.9356 Å
α = 90.00°, β = 90.00°, γ = 90.00°
Last column: nearest neighbours and their distance in Å.
Element x y z (fractional)
1 Lu 0.0000 0.0000 0.2329  4 Pa 3.34, 4 Lu 3.41, 4 Y 3.58
2 Y 0.5000 0.5000 0.5000  4 Y 3.41, 8 Lu 3.58
3 Lu 0.0000 0.0000 0.7671  4 Pa 3.34, 4 Lu 3.41, 4 Y 3.58
4 Pa 0.5000 0.5000 0.0000  8 Lu 3.34, 4 Pa 3.41

***

Q:
YLu2Pa after structural relaxation, computed with PBE-GGA.

a = 3.5771 Å, b = 5.6735 Å, c = 5.6735 Å
α = 90.00°, β = 90.00°, γ = 90.00°
Last column: nearest neighbours and their distance in Å.
Element x y z (fractional)
1 Lu 0.0000 0.5000 0.0000  4 Pa 3.35, 4 Y 3.35, 2 Lu 3.58
2 Pa 0.5000 0.5000 0.5000  8 Lu 3.35, 2 Pa 3.58
3 Lu 0.0000 0.0000 0.5000  4 Pa 3.35, 4 Y 3.35, 2 Lu 3.58
4 Y 0.5000 0.0000 0.0000  8 Lu 3.35, 2 Y 3.58

***

The winner here is P, beating the second structure by 14.6 kJ/mol of atoms.